Crystalline RbBa2US6 at its relaxed geometry, computed with GGA-PBE.

Lattice parameters (Å, degrees): 7.510 8.137 12.353 90.00 122.82 90.00
Space group P2_1/c (No. 14)
Inequivalent atoms, fractional coordinates:
1 Rb 0.000 0.000 0.000 x2
2 Ba 0.198 0.079 0.732 x4
3 U 0.500 0.000 0.500 x2
4 S 0.176 0.167 0.450 x4
5 S 0.263 0.742 0.408 x4
6 S 0.430 0.076 0.282 x4

Values from the calculation:
As for the volume: 31.716 A^3/atom. For the density of states at the Fermi level, the calculation gives 8.2 states/eV/cell. The value obtained for the total energy is -5.541 eV/atom. As for the spin magnetization: 2.13 μB/cell. For the uncorrected formation energy, the calculation gives -1455 meV/atom.